## 1
Entry from OQMD via LeMat-Bulk: a relaxed structure of DyHoZn2Sn2 (PBE).

```
DyHoZn2Sn2
1.0
4.500 0.000 0.000
-2.250 3.897 0.000
0.000 0.000 15.751
Dy Ho Zn Sn
2 2 4 4
Direct
0.000 0.000 0.000 Dy
0.000 0.000 0.500 Dy
0.000 0.000 0.250 Ho
0.000 0.000 0.750 Ho
0.333 0.667 0.161 Zn
0.333 0.667 0.339 Zn
0.667 0.333 0.661 Zn
0.667 0.333 0.839 Zn
0.333 0.667 0.613 Sn
0.333 0.667 0.887 Sn
0.667 0.333 0.113 Sn
0.667 0.333 0.387 Sn
```

As for the calculated volume: 276 Å³/cell. The total magnetization is 0.01 μB per cell. The space group is P6_3/mmc, No. 194.



## 2
Entry from OQMD via LeMat-Bulk: a relaxed structure of DyHoZn2Sn2 (PBE).

```
DyHoZn2Sn2
1.0
-2.151 2.151 7.506
2.151 -2.151 7.506
2.151 2.151 -7.506
Dy Ho Zn Sn
1 1 2 2
Direct
0.000 0.000 0.000 Dy
0.685 0.685 0.000 Ho
0.342 0.842 0.500 Zn
0.842 0.342 0.500 Zn
0.208 0.208 0.000 Sn
0.476 0.476 0.000 Sn
```

As for the calculated volume: 139 Å³/cell. The total magnetization is 0.00 μB per cell. The space group is I4mm, No. 107.



Energies, relative to the best one, in kJ/mol of atoms: 1 0.0; 2 7.5.